No. 1
DFT (PBE) results for a relaxed structure of BaHgBi2.

Properties
magnetization = 0.0 μB/f.u.
volume = 35.7 A^3/atom
space-group type = Cmcm (63)
calculated formation energy = -1.83 eV per formula unit
mass density = 8.8 g/cm³

Cell: 10.095 10.095 11.621 Å, 90.00 90.00 151.14°
Element x y z (fractional)
Ba: 0.000 0.000 0.000
Ba: 0.000 0.000 0.500
Ba: 0.192 0.808 0.750
Ba: 0.808 0.192 0.250
Hg: 0.370 0.630 0.023
Hg: 0.370 0.630 0.477
Hg: 0.630 0.370 0.523
Hg: 0.630 0.370 0.977
Bi: 0.205 0.795 0.081
Bi: 0.205 0.795 0.419
Bi: 0.387 0.613 0.750
Bi: 0.453 0.547 0.250
Bi: 0.547 0.453 0.750
Bi: 0.613 0.387 0.250
Bi: 0.795 0.205 0.581
Bi: 0.795 0.205 0.919


No. 2
DFT (PBE) results for a relaxed structure of Ba2Hg3Bi.

Properties
magnetization = 0.0 μB/f.u.
volume = 34.6 A^3/atom
space-group type = Fmmm (69)
calculated formation energy = -3.45 eV per formula unit
mass density = 8.7 g/cm³

Cell: 10.495 10.043 6.841 Å, 74.16 67.00 38.83°
Element x y z (fractional)
Ba: 0.244 0.756 0.756
Ba: 0.250 0.250 0.250
Ba: 0.750 0.750 0.750
Ba: 0.756 0.244 0.244
Hg: 0.164 0.164 0.836
Hg: 0.165 0.673 0.327
Hg: 0.327 0.835 0.165
Hg: 0.673 0.165 0.835
Hg: 0.835 0.327 0.673
Hg: 0.836 0.836 0.164
Bi: 0.335 0.335 0.665
Bi: 0.665 0.665 0.335


No. 3
DFT (PBE) results for a relaxed structure of BaHg5Bi.

Properties
magnetization = 0.0 μB/f.u.
volume = 32.8 A^3/atom
space-group type = P4/mmm (123)
calculated formation energy = -1.85 eV per formula unit
mass density = 9.8 g/cm³

Cell: 5.370 5.370 7.955 Å, 90.00 90.00 90.00°
Element x y z (fractional)
Ba: 0.000 0.000 0.000
Hg: 0.000 0.500 0.280
Hg: 0.000 0.500 0.720
Hg: 0.500 0.000 0.280
Hg: 0.500 0.000 0.720
Hg: 0.500 0.500 0.000
Bi: 0.000 0.000 0.500


No. 4
DFT (PBE) results for a relaxed structure of Ba2Hg4Bi3.

Properties
excess energy over the best structure of this formula in the dataset = 0.000 eV per atom
magnetization = 0.0 μB/f.u.
volume = 33.2 A^3/atom
space-group type = Cmce (64)
calculated formation energy = -3.54 eV per formula unit
mass density = 9.5 g/cm³

Cell: 9.626 9.626 9.744 Å, 90.00 90.00 138.62°
Element x y z (fractional)
Ba: 0.121 0.879 0.926
Ba: 0.379 0.621 0.426
Ba: 0.621 0.379 0.574
Ba: 0.879 0.121 0.074
Hg: 0.177 0.823 0.537
Hg: 0.209 0.291 0.750
Hg: 0.291 0.209 0.250
Hg: 0.323 0.677 0.037
Hg: 0.677 0.323 0.963
Hg: 0.709 0.791 0.750
Hg: 0.791 0.709 0.250
Hg: 0.823 0.177 0.463
Bi: 0.000 0.000 0.500
Bi: 0.034 0.466 0.750
Bi: 0.466 0.034 0.250
Bi: 0.500 0.500 0.000
Bi: 0.534 0.966 0.750
Bi: 0.966 0.534 0.250